# 1
Material: HfS2NCl
Method: DFT, GGA-PBE
State: relaxed

Properties
energy relative to the elements, uncorrected: 226 meV per atom
polymorph energy (0 for the lowest one): 7.3 kJ per mole of atoms
uncorrected energy: -5.450 eV/atom

a = 4.928 Å, b = 4.928 Å, c = 5.073 Å
α = 90.00°, β = 90.00°, γ = 90.00°
Space group P4/mmm (No. 123)
One atom of each set of equivalent atoms:
Hf1 0.000 0.000 0.000 [1 per cell]
S1 0.000 0.500 0.000 [2 per cell]
N1 0.500 0.500 0.500 [1 per cell]
Cl1 0.000 0.000 0.500 [1 per cell]

# 2
Material: Nd6GeBi2
Method: DFT, GGA-PBE
State: relaxed

Properties
ΔE_f: -0.6410 eV/atom
uncorrected energy: -5.195 eV/atom

a = 8.6478 Å, b = 8.6478 Å, c = 4.3937 Å
α = 90.00°, β = 90.00°, γ = 120.00°
Space group P-62m (No. 189)
One atom of each set of equivalent atoms:
Nd1 0.0000 0.2442 0.0000 [3 per cell]
Nd2 0.0000 0.5955 0.5000 [3 per cell]
Ge1 0.0000 0.0000 0.5000 [1 per cell]
Bi1 0.3333 0.6667 0.0000 [2 per cell]

# 3
Material: KSnI2
Method: DFT, GGA-PBE
State: relaxed

Properties
energy relative to the elements, uncorrected: -547 meV per atom
polymorph energy (0 for the lowest one): 0.0 kJ per mole of atoms
uncorrected energy: -2.597 eV/atom

a = 6.734 Å, b = 6.734 Å, c = 19.018 Å
α = 90.00°, β = 90.00°, γ = 90.00°
Space group I-42d (No. 122)
One atom of each set of equivalent atoms:
K1 0.000 0.000 0.000 [4 per cell]
Sn1 0.000 0.000 0.500 [4 per cell]
I1 0.208 0.250 0.625 [8 per cell]

# 4
Material: Ho2CuSn
Method: DFT, GGA-PBE
State: relaxed

Properties
ΔE_f: -0.4251 eV/atom
uncorrected energy: -4.739 eV/atom

a = 3.480 Å, b = 3.480 Å, c = 7.722 Å
α = 90.00°, β = 90.00°, γ = 90.00°
Space group P4/mmm (No. 123)
One atom of each set of equivalent atoms:
Ho1 0.000 0.000 0.226 [2 per cell]
Cu1 0.500 0.500 0.000 [1 per cell]
Sn1 0.500 0.500 0.500 [1 per cell]

# 5
Material: Gd2NiB10
Method: DFT, GGA-PBE
State: relaxed

Properties
ΔE_f: -0.5280 eV/atom
uncorrected energy: -8.276 eV/atom

a = 5.583 Å, b = 11.128 Å, c = 4.159 Å
α = 90.00°, β = 90.00°, γ = 90.00°
Space group Pbam (No. 55)
One atom of each set of equivalent atoms:
Gd1 0.186 0.138 0.000 [4 per cell]
Ni1 0.000 0.500 0.500 [2 per cell]
B1 0.031 0.313 0.500 [4 per cell]
B2 0.126 0.959 0.500 [4 per cell]
B3 0.158 0.802 0.500 [4 per cell]
B4 0.201 0.386 0.199 [8 per cell]

# 6
Material: Ca2TeAu
Method: DFT, GGA-PBE
State: relaxed

Properties
energy relative to the elements, uncorrected: -757 meV per atom
polymorph energy (0 for the lowest one): 38.2 kJ per mole of atoms
uncorrected energy: -3.363 eV/atom

a = 6.374 Å, b = 6.374 Å, c = 15.929 Å
α = 90.00°, β = 90.00°, γ = 90.00°
Space group I-42d (No. 122)
One atom of each set of equivalent atoms:
Ca1 0.233 0.250 0.125 [8 per cell]
Te1 0.000 0.000 0.500 [4 per cell]
Au1 0.000 0.000 0.000 [4 per cell]

# 7
Material: K2CoSb
Method: DFT, GGA-PBE
State: relaxed

Properties
energy relative to the elements, uncorrected: 217 meV per atom
uncorrected energy: -3.139 eV/atom

a = 4.785 Å, b = 5.209 Å, c = 7.889 Å
α = 90.00°, β = 100.23°, γ = 90.00°
Space group P2/m (No. 10)
One atom of each set of equivalent atoms:
K1 0.177 0.000 0.236 [2 per cell]
Co1 0.000 0.500 0.000 [1 per cell]
Sb1 0.500 0.500 0.000 [1 per cell]

# 8
Material: Ba2InAg
Method: DFT, GGA-PBE
State: relaxed

Properties
ΔE_f: -0.3119 eV/atom
uncorrected energy: -2.671 eV/atom

a = 6.569 Å, b = 5.113 Å, c = 9.761 Å
α = 90.00°, β = 104.94°, γ = 90.00°
Space group P2_1/m (No. 11)
One atom of each set of equivalent atoms:
Ba1 0.213 0.250 0.423 [2 per cell]
Ba2 0.283 0.750 0.065 [2 per cell]
In1 0.163 0.250 0.776 [2 per cell]
Ag1 0.337 0.750 0.719 [2 per cell]

# 9
Material: Ba2NaHg
Method: DFT, GGA-PBE
State: relaxed

Properties
ΔE_f: 0.1156 eV/atom
uncorrected energy: -1.251 eV/atom

a = 4.2055 Å, b = 4.2055 Å, c = 40.8253 Å
α = 90.00°, β = 90.00°, γ = 120.00°
Space group R-3m (No. 166, hexagonal axes)
One atom of each set of equivalent atoms:
Ba1 0.0000 0.0000 0.0843 [6 per cell]
Na1 0.0000 0.0000 0.5000 [3 per cell]
Hg1 0.0000 0.0000 0.0000 [3 per cell]

# 10
Material: Re4MoRh
Method: DFT, GGA-PBE
State: relaxed

Properties
ΔE_f: 0.2383 eV/atom
uncorrected energy: -11.091 eV/atom

a = 7.253 Å, b = 7.253 Å, c = 7.253 Å
α = 90.00°, β = 90.00°, γ = 90.00°
Space group F-43m (No. 216)
One atom of each set of equivalent atoms:
Re1 0.124 0.124 0.376 [16 per cell]
Mo1 0.000 0.000 0.000 [4 per cell]
Rh1 0.250 0.250 0.750 [4 per cell]